(1)
VASP calculation (GGA-PBE) on a relaxed structure of CrIr4Ru2.

Lattice parameters (Å, degrees): 4.6753 10.6830 4.3067 90.00 90.00 90.00
Closest atoms and distances in Å follow each position.
Space group Pbam (No. 55)
Symmetry-distinct sites (fractional):
1 Cr 0.0000 0.0000 0.0000 [2 per cell]  6 Ir 2.57-2.87
2 Ir 0.0679 0.3089 0.0000 [4 per cell]  4 Ru 2.64-2.70, 4 Ir 2.65-2.67, 1 Cr 2.87
3 Ir 0.2353 0.4371 0.5000 [4 per cell]  2 Cr 2.57, 4 Ru 2.57-2.77, 4 Ir 2.58-2.82
4 Ru 0.2427 0.1779 0.5000 [4 per cell]  8 Ir 2.57-2.77, 2 Ru 2.80

Calculated values
The total DFT energy (no corrections) comes out at -8.7783 eV/atom. The total magnetization comes out at 2.73 μB/f.u. As for the formation energy: 310 meV/atom.

(2)
VASP calculation (GGA-PBE) on a relaxed structure of Ac2HoCu2Se6.

Lattice parameters (Å, degrees): 7.4137 7.4137 20.9761 90.00 90.00 120.00
Closest atoms and distances in Å follow each position.
Space group R-3m (No. 166, hexagonal axes)
Symmetry-distinct sites (fractional):
1 Ac 0.0000 0.0000 0.2058 [6 per cell]  3 Se 3.08
2 Ho 0.0000 0.0000 0.0000 [3 per cell]  6 Se 2.80
3 Cu 0.0000 0.0000 0.4326 [6 per cell]  3 Se 2.29
4 Se 0.0232 0.5116 0.7606 [18 per cell]  1 Cu 2.29

Calculated values
The total DFT energy (no corrections) comes out at -4.9034 eV/atom. The uncorrected formation energy is -1.095 eV per atom. The total magnetization comes out at 0.00 μB/f.u.

(3)
VASP calculation (GGA-PBE) on a relaxed structure of La6ReAu2.

Lattice parameters (Å, degrees): 7.0490 7.7865 12.4859 90.00 120.68 90.00
Closest atoms and distances in Å follow each position.
Space group P2_1/c (No. 14)
Symmetry-distinct sites (fractional):
1 La 0.1053 0.0382 0.2491 [4 per cell]  1 Re 2.82, 2 Au 3.10-3.14
2 La 0.2379 0.6855 0.0676 [4 per cell]  1 Re 2.84, 1 Au 3.15
3 La 0.3835 0.1860 0.0614 [4 per cell]  1 Re 2.81, 1 Au 3.11
4 Re 0.0000 0.0000 0.0000 [2 per cell]  6 La 2.81-2.84
5 Au 0.3226 0.1084 0.7656 [4 per cell]  6 La 3.10-3.22

Calculated values
The total DFT energy (no corrections) comes out at -5.7091 eV/atom. The total magnetization comes out at 0.00 μB/f.u. As for the formation energy: -313 meV/atom.

(4)
VASP calculation (GGA-PBE) on a relaxed structure of Ga2RePd.

Lattice parameters (Å, degrees): 2.8137 2.8137 28.0788 90.00 90.00 120.00
Closest atoms and distances in Å follow each position.
Space group R-3m (No. 166, hexagonal axes)
Symmetry-distinct sites (fractional):
1 Ga 0.0000 0.0000 0.0924 [6 per cell]  1 Re 2.59, 3 Pd 2.64, 6 Ga 2.81
2 Re 0.0000 0.0000 0.0000 [3 per cell]  2 Ga 2.59, 6 Re 2.81
3 Pd 0.0000 0.0000 0.5000 [3 per cell]  6 Ga 2.64, 6 Pd 2.81

Calculated values
The total DFT energy (no corrections) comes out at -5.8326 eV/atom. The total magnetization comes out at 0.00 μB/f.u. As for the formation energy: 91 meV/atom.

(5)
VASP calculation (GGA-PBE) on a relaxed structure of B2C.

Lattice parameters (Å, degrees): 3.3928 4.1324 5.7778 89.78 80.81 78.55
Closest atoms and distances in Å follow each position.
Space group P1 (No. 1)
Symmetry-distinct sites (fractional):
1 B 0.0000 0.0000 0.0000 [1 per cell]  2 C 1.70-1.71, 3 B 1.76-1.86
2 B 0.0110 0.9619 0.5498 [1 per cell]  2 C 1.61-1.62, 2 B 1.72-1.80
3 B 0.2471 0.9716 0.2481 [1 per cell]  2 C 1.65-1.84, 3 B 1.73-1.80
4 B 0.3870 0.3544 0.8462 [1 per cell]  2 C 1.68-1.72, 2 B 1.71-1.72
5 B 0.5749 0.2573 0.5566 [1 per cell]  2 C 1.64-1.78, 3 B 1.71-1.82
6 B 0.6740 0.6437 0.6626 [1 per cell]  2 C 1.71-1.79, 3 B 1.74-1.90
7 B 0.7230 0.7175 0.1824 [1 per cell]  2 C 1.63-1.75, 2 B 1.63-1.73
8 B 0.9094 0.6007 0.9108 [1 per cell]  3 B 1.63-1.74, 1 C 1.73
9 C 0.0024 0.6459 0.3883 [1 per cell]  1 C 1.59, 2 B 1.62-1.63
10 C 0.3093 0.9916 0.7357 [1 per cell]  5 B 1.61-1.78
11 C 0.3493 0.3254 0.3258 [1 per cell]  2 C 1.59-1.62, 2 B 1.64-1.65
12 C 0.6355 0.3456 0.0761 [1 per cell]  1 C 1.62, 4 B 1.68-1.75

Calculated values
The total DFT energy (no corrections) comes out at -7.0140 eV/atom. The total magnetization comes out at 0.00 μB/f.u. As for the formation energy: 512 meV/atom.

(6)
VASP calculation (GGA-PBE) on a relaxed structure of Tb6Nd3ErTh2.

Lattice parameters (Å, degrees): 6.2224 10.7685 11.8648 90.00 100.08 90.00
Closest atoms and distances in Å follow each position.
Space group C2/m (No. 12)
Symmetry-distinct sites (fractional):
1 Tb 0.2446 0.0000 0.2448 [4 per cell]  2 Th 3.52, 1 Er 3.55, 6 Tb 3.57-3.63, 3 Nd 3.62-3.64
2 Tb 0.2501 0.1684 0.7555 [8 per cell]  2 Th 3.52, 1 Er 3.54, 6 Tb 3.57-3.63, 3 Nd 3.62-3.64
3 Nd 0.0000 0.0000 0.5000 [2 per cell]  6 Nd 3.59, 6 Tb 3.62-3.64
4 Nd 0.0000 0.3335 0.5000 [4 per cell]  6 Nd 3.59, 6 Tb 3.62-3.64
5 Er 0.0000 0.5000 0.0000 [2 per cell]  6 Tb 3.54-3.55, 6 Th 3.59
6 Th 0.0000 0.1665 0.0000 [4 per cell]  6 Tb 3.52, 3 Th 3.59, 3 Er 3.59

Calculated values
The total DFT energy (no corrections) comes out at -5.1045 eV/atom. The total magnetization comes out at 0.00 μB/f.u. As for the formation energy: 19 meV/atom.